# 1
# Cs3HgB

An optimized crystal structure of Cs3HgB (GGA-PBEsol, Alexandria via LeMat-Bulk).

abc: 6.3701 6.3701 6.3701
angles: 90.00 90.00 90.00
Atoms (fractional coordinates):
1 Cs 0.0000 0.5000 0.0000
2 Cs 0.0000 0.0000 0.5000
3 Cs 0.5000 0.0000 0.0000
4 B 0.0000 0.0000 0.0000
5 Hg 0.5000 0.5000 0.5000

Properties
Electronic total energy = -1.345 eV/atom
Crystal system = cubic

# 2
# Ta2InAs

An optimized crystal structure of Ta2InAs (GGA-PBEsol, Alexandria via LeMat-Bulk).

abc: 2.9297 4.8343 5.4049
angles: 90.00 105.74 90.00
Atoms (fractional coordinates):
1 As 0.6661 0.0000 0.4575
2 In 0.3141 0.5000 0.7527
3 Ta 0.9453 0.0000 0.0162
4 Ta 0.5744 0.5000 0.2736

Properties
Electronic total energy = -8.240 eV/atom
Crystal system = orthorhombic

| no. | DOS at the Fermi energy (states/eV per cell) | energy relative to the elements (meV/atom) | V (Å³/atom) |
| --- | --- | --- | --- |
| 1 | 2.62 | 736.7 | 51.70 |
| 2 | 1.59 | 57.4 | 18.42 |